1.
Tm2ScTl | Alexandria | PBE | relaxed; total magnetization = 0.00 Bohr magnetons per cell; polymorph energy (0 for the lowest one) = 292 meV/atom; formation energy from the elements = 111 meV/atom
1.0
-2.732 0.645 -1.751
2.448 -3.127 -4.971
-3.108 -9.528 4.463
Tm Sc Tl
4 2 2
Cartesian
-3.513 -4.819 0.580
-0.669 -6.181 -1.233
-4.232 -9.364 3.152
0.010 -1.585 -3.724
-1.767 -3.021 -1.481
-1.338 -9.354 -1.357
-0.465 -4.628 -4.104
-2.518 -7.903 1.017

2.
VMo2OsRh | Alexandria | PBE | relaxed; total magnetization = 0.01 Bohr magnetons per cell; formation energy from the elements = 2018 meV/atom
1.0
4.622 0.000 0.000
0.000 4.660 0.000
0.000 0.000 4.622
Mo Os Rh V
2 1 1 1
Cartesian
0.000 0.000 2.311
2.311 0.000 0.000
0.000 2.330 0.000
0.000 0.000 0.000
2.311 2.330 2.311

3.
LiTbCeSe3 | Alexandria | PBE | relaxed; total magnetization = 2.67 Bohr magnetons per cell; formation energy (no corrections) = -1657 meV per atom
1.0
-1.677 1.788 -3.211
-5.464 -6.439 -0.733
-4.242 5.679 5.378
Se Tb Li Ce
6 2 2 2
Cartesian
-4.585 2.764 0.122
-6.762 -3.731 -2.358
-4.620 4.759 3.792
-7.029 1.471 3.219
-6.797 -1.735 1.313
-4.353 -0.443 -1.785
-6.639 3.965 1.864
-4.744 -2.937 -0.429
-8.008 -2.177 -0.842
-3.375 3.205 2.277
-2.386 0.527 0.269
-8.997 0.501 1.166

4.
Nd5Y2Mg | Alexandria | PBE | relaxed; total magnetization = 0.00 Bohr magnetons per cell; polymorph energy (0 for the lowest one) = 8 meV/atom; formation energy from the elements = 6 meV/atom
1.0
7.208 -0.001 0.001
-0.001 7.209 0.001
-3.605 -3.603 5.059
Nd Mg Y
5 1 2
Cartesian
-1.803 -1.800 4.778
1.800 -1.801 4.780
3.603 3.604 2.251
1.799 1.802 4.779
-1.803 1.803 4.776
-0.001 0.000 2.246
0.000 3.606 2.249
3.602 -0.001 2.249

5.
ReNiOs2 | Alexandria | PBE | relaxed; total magnetization = 0.48 Bohr magnetons per cell; polymorph energy (0 for the lowest one) = 67 meV/atom; formation energy from the elements = 169 meV/atom
1.0
8.812 -0.008 -0.004
8.394 2.682 -0.004
8.394 1.305 2.343
Os Ni Re
2 1 1
Cartesian
6.402 0.995 0.584
0.047 0.007 0.004
19.194 2.984 1.750
12.758 1.983 1.163

6.
KIF4 | Alexandria | PBE | relaxed; total magnetization = 0.26 Bohr magnetons per cell; formation energy (no corrections) = -1686 meV per atom
1.0
-1.887 3.717 0.767
-4.872 -1.558 -4.437
-3.212 -5.147 5.333
F I K
8 2 2
Cartesian
-1.720 -1.254 1.845
-6.271 -1.101 1.621
-5.775 -0.242 -1.325
-8.250 -1.734 -0.182
0.000 0.000 0.000
-3.700 -1.887 0.042
-2.436 -0.779 -2.219
-4.196 -2.746 2.988
-5.073 -2.291 -1.376
-4.898 -0.697 3.039
-7.362 -4.103 1.773
-2.609 1.115 -0.110

7.
Y2Si3GePt4 | Alexandria | PBE | relaxed; total magnetization = 0.00 Bohr magnetons per cell; formation energy (no corrections) = -1040 meV per atom
1.0
4.245 0.000 0.000
0.000 4.245 0.000
0.000 0.000 9.890
Pt Ge Si Y
4 1 3 2
Cartesian
2.123 2.123 0.000
2.123 0.000 6.236
0.000 2.123 3.654
0.000 0.000 0.000
2.123 2.123 4.945
0.000 0.000 4.945
2.123 0.000 8.611
0.000 2.123 1.278
0.000 2.123 7.421
2.123 0.000 2.468

8.
EuMgCuSi | Alexandria | PBE | relaxed; total magnetization = 6.87 Bohr magnetons per cell; formation energy (no corrections) = -185 meV per atom
1.0
-2.411 -4.037 -1.087
-0.279 -3.585 3.219
-4.196 -0.965 2.180
Si Cu Mg Eu
1 1 1 1
Cartesian
-5.164 -6.440 3.234
-1.721 -2.147 1.078
0.000 0.000 0.000
-3.443 -4.293 2.156